Entry 1:
K8NaHg2 | GGA-PBE | relaxed

```
K8NaHg2
1.0
5.5289 -8.1880 0.0000
5.5289 8.1880 0.0000
-1.7607 0.0000 6.6998
K Na Hg
8 1 2
Cartesian
1.1349 2.1362 3.9466
5.5289 4.1542 0.0000
1.1349 -2.1362 3.9466
3.8726 0.0000 1.3142
5.4245 0.0000 5.3856
8.1622 2.1362 2.7532
5.5289 -4.1542 0.0000
8.1622 -2.1362 2.7532
0.0000 0.0000 0.0000
4.6486 2.9911 3.3499
4.6486 -2.9911 3.3499
```

Computed properties:
* space-group type: C2/m, No. 12
* VASP energy: -11.58 eV for the cell shown

***

Entry 2:
MoOs2W | GGA-PBE | relaxed

```
MoOs2W
1.0
1.3833 0.7986 9.1523
-1.3833 0.7986 9.1523
0.0000 -1.5973 9.1523
Mo Os W
1 2 1
Cartesian
0.0000 0.0000 0.0000
0.0000 0.0000 6.8671
0.0000 0.0000 20.5898
0.0000 0.0000 13.7285
```

Computed properties:
* space-group type: R-3m, No. 166
* energy above the lowest structure with this stoichiometry: 0.37 eV/f.u.

***

Entry 3:
PrEuTlNi | GGA-PBE | relaxed

```
PrEuTlNi
1.0
0.0000 3.7636 3.7636
3.7636 0.0000 3.7636
3.7636 3.7636 0.0000
Pr Eu Tl Ni
1 1 1 1
Cartesian
0.0000 0.0000 0.0000
3.7636 3.7636 3.7636
1.8818 1.8818 1.8818
5.6454 5.6454 5.6454
```

Computed properties:
* space-group type: F-43m, No. 216
* VASP energy: -23.74 eV for the cell shown

***

Entry 4:
BaCuIr2 | GGA-PBE | relaxed

```
BaCuIr2
1.0
2.8883 0.0000 0.0000
0.0000 3.8850 0.0000
0.0000 0.0000 7.0879
Ba Cu Ir
1 1 2
Cartesian
0.0000 0.0000 0.0000
0.0000 0.0000 3.5439
1.4442 1.9425 2.3009
1.4442 1.9425 4.7870
```

Computed properties:
* space-group type: Pmmm, No. 47
* energy above the lowest structure with this stoichiometry: 2.79 eV/f.u.

***

Entry 5:
NiRu5 | GGA-PBE | relaxed

```
NiRu5
1.0
4.8747 -1.3606 0.0000
4.8747 1.3606 0.0000
-1.5029 0.0000 6.1110
Ni Ru
1 5
Cartesian
0.0000 0.0000 0.0000
-0.3734 0.0000 3.7390
2.2582 0.0000 4.0746
3.3818 0.0000 1.6580
6.0060 0.0000 2.0288
5.6150 0.0000 5.7466
```

Computed properties:
* space-group type: Cm, No. 8
* energy above the lowest structure with this stoichiometry: 0.06 eV/f.u.

***

Entry 6:
ZrAgTeN2 | GGA-PBE | relaxed

```
ZrAgTeN2
1.0
4.1380 0.0000 0.0000
0.0000 4.1380 0.0000
0.0000 0.0000 6.2983
Zr Ag Te N
1 1 1 2
Cartesian
0.0000 0.0000 0.0000
2.0690 2.0690 3.1492
0.0000 0.0000 3.1492
0.0000 2.0690 0.0000
2.0690 0.0000 0.0000
```

Computed properties:
* uncorrected formation energy: 0.43 eV per atom
* space-group type: P4/mmm, No. 123
* energy above the lowest structure with this stoichiometry: 0.00 eV/f.u.

***

Number 1: theoretical density 2.017 Mg/m³. Number 2: theoretical density 18.072 Mg/m³. Number 3: theoretical density 8.659 Mg/m³. Number 4: theoretical density 12.220 Mg/m³. Number 5: theoretical density 11.554 Mg/m³. Number 6: theoretical density 5.461 Mg/m³.